Material: SrV2NiO6
Method: DFT, PBE with a Hubbard U
State: relaxed

* electronic total energy: -6.859 eV per atom
* volume: 496.1 Å³/cell

Geometry as CIF:
```
data_SrV2NiO6
_cell_length_a 11.184
_cell_length_b 8.916
_cell_length_c 5.350
_cell_angle_alpha 90.00
_cell_angle_beta 111.58
_cell_angle_gamma 90.00
_symmetry_space_group_name_H-M 'C 1 2/c 1'
_symmetry_Int_Tables_number 15
loop_
_symmetry_equiv_pos_as_xyz
'x,y,z'
'-x,-y,-z'
'-x,y,-z+1/2'
'x,-y,z+1/2'
'x+1/2,y+1/2,z'
'-x+1/2,-y+1/2,-z'
'-x+1/2,y+1/2,-z+1/2'
'x+1/2,-y+1/2,z+1/2'
loop_
_atom_site_label
_atom_site_type_symbol
_atom_site_fract_x
_atom_site_fract_y
_atom_site_fract_z
Sr1 Sr 0.000 0.176 0.250
V1 V 0.243 0.116 0.925
Ni1 Ni 0.000 0.430 0.750
O1 O 0.109 0.409 0.149
O2 O 0.145 0.277 0.742
O3 O 0.153 0.020 0.096
```